{
  "formula": "MgHgBr2",
  "functional": "PBE",
  "state": "optimized geometry",
  "relative_energy_kj_per_mol_fu": 59,
  "magmom_total_mub_per_fu": 0.0,
  "e_tot_ev_per_cell": -9.0,
  "cell": [[-0.1093, -3.6288, 0.4331], [1.1998, 0.4691, 4.2329], [-8.7076, 0.7749, 4.2958]],
  "species": ["Br", "Br", "Mg", "Hg"],
  "fractional_positions": [[0.0000, 0.6023, 0.5889], [0.0000, 0.8977, 0.9111], [0.5000, 0.7500, 0.7500], [0.5000, 0.2500, 0.2500]]
}


{
  "formula": "MgHgBr2",
  "functional": "PBE",
  "state": "optimized geometry",
  "relative_energy_kj_per_mol_fu": 74,
  "magmom_total_mub_per_fu": 0.0,
  "e_tot_ev_per_cell": -8.8,
  "cell": [[3.8190, 0.0000, 0.0000], [0.0000, 5.7405, 0.0836], [0.0000, 2.0916, 6.2973]],
  "species": ["Mg", "Br", "Br", "Hg"],
  "fractional_positions": [[0.5000, 0.8553, 0.6860], [0.0000, 0.8797, 0.9353], [0.5000, 0.2171, 0.3552], [0.0000, 0.5478, 0.5235]]
}